Here is a relaxed structure of Ba2HgSe2 from Alexandria via LeMat-Bulk. Energies are from PBE.

Cell: 6.2087 6.2087 12.8387 Å, 90.00 90.00 90.00°
Fractional positions:
Ba: 0.0000 0.5000 0.2500
Ba: 0.0000 0.5000 0.7500
Ba: 0.5000 0.0000 0.2500
Ba: 0.5000 0.0000 0.7500
Hg: 0.0000 0.0000 0.0000
Hg: 0.5000 0.5000 0.5000
Se: 0.0000 0.0000 0.3128
Se: 0.0000 0.0000 0.6872
Se: 0.5000 0.5000 0.1872
Se: 0.5000 0.5000 0.8128

Output
Formation energy (no corrections) (eV/atom): -1.30
M_tot (μB/f.u.): 0.00
Raw total energy (eV per atom): -3.522
Energy above the lowest structure with this stoichiometry (meV/atom): 164